NaZrFeP2 | PBE | relaxed

## Properties
- Total energy: -23.64 eV for the cell shown
- Formation energy: 1.102 eV per atom
- Density: 4.15 g/cm³

```
NaZrFeP2
1.0
-0.4022 -4.6866 -0.4694
0.4198 -0.4479 4.1121
-4.6858 0.3504 0.5165
Na Zr Fe P
1 1 1 2
Direct
0.0000 0.0000 0.0000 Na
0.5000 0.5000 0.5000 Zr
0.0000 0.5000 0.0000 Fe
0.0000 0.0000 0.5000 P
0.5000 0.0000 0.0000 P
```